(1)
Material: Li5SnHg3
Method: DFT, PBE-GGA
State: relaxed

Geometry as CIF:
```
data_Li5SnHg3
_cell_length_a 8.2720
_cell_length_b 8.2720
_cell_length_c 5.9112
_cell_angle_alpha 90.00
_cell_angle_beta 90.00
_cell_angle_gamma 120.00
_space_group_name_H-M_alt 'P 63/m c m'
_space_group_IT_number 193
_space_group_name_Hall '-P 6c 2'
loop_
_atom_site_label
_atom_site_fract_x
_atom_site_fract_y
_atom_site_fract_z
Li1 0.0000 0.3136 0.2500
Li2 0.3333 0.6667 0.0000
Sn1 0.0000 0.0000 0.0000
Hg1 0.0000 0.3634 0.7500
```

Results
Magnetic moment ... 0.0 μB per formula unit
Calculated formation energy ... -2.8 eV per formula unit
Calculated volume ... 19.46 Å³ per atom
Calculated total energy ... -1.920 eV/atom

---

(2)
Material: HfMnH2
Method: DFT, PBE-GGA
State: relaxed

Geometry as CIF:
```
data_HfMnH2
_cell_length_a 4.032
_cell_length_b 4.032
_cell_length_c 9.447
_cell_angle_alpha 90.00
_cell_angle_beta 90.00
_cell_angle_gamma 90.00
_space_group_name_H-M_alt 'I -4 2 d'
_space_group_IT_number 122
_space_group_name_Hall 'I -4 2bw'
loop_
_atom_site_label
_atom_site_fract_x
_atom_site_fract_y
_atom_site_fract_z
Hf1 0.000 0.000 0.000
Mn1 0.000 0.000 0.500
H1 0.180 0.250 0.625
```

Results
Magnetic moment ... 1.1 μB per formula unit
Calculated volume ... 9.60 Å³ per atom
Calculated total energy ... -6.607 eV/atom

---

(3)
Material: TlBi2Pb
Method: DFT, PBE-GGA
State: relaxed

Geometry as CIF:
```
data_TlBi2Pb
_cell_length_a 8.462
_cell_length_b 8.793
_cell_length_c 6.966
_cell_angle_alpha 90.00
_cell_angle_beta 90.00
_cell_angle_gamma 90.00
_space_group_name_H-M_alt 'C m c m'
_space_group_IT_number 63
_space_group_name_Hall '-C 2c 2'
loop_
_atom_site_label
_atom_site_fract_x
_atom_site_fract_y
_atom_site_fract_z
Tl1 0.000 0.203 0.250
Bi1 0.196 0.500 0.000
Pb1 0.000 0.220 0.750
```

Results
Magnetic moment ... 0.0 μB per formula unit
Calculated formation energy ... 0.1 eV per formula unit
Calculated volume ... 32.39 Å³ per atom
Calculated total energy ... -3.438 eV/atom

---

(4)
Material: Cs2BaHg10
Method: DFT, PBE-GGA
State: relaxed

Geometry as CIF:
```
data_Cs2BaHg10
_cell_length_a 6.730
_cell_length_b 22.068
_cell_length_c 7.280
_cell_angle_alpha 90.00
_cell_angle_beta 90.00
_cell_angle_gamma 90.00
_space_group_name_H-M_alt 'P b a m'
_space_group_IT_number 55
loop_
_space_group_symop_operation_xyz
'x,y,z'
'-x,-y,-z'
'-x,-y,z'
'x,y,-z'
'x+1/2,-y+1/2,-z'
'-x+1/2,y+1/2,z'
'-x+1/2,y+1/2,-z'
'x+1/2,-y+1/2,z'
loop_
_atom_site_label
_atom_site_fract_x
_atom_site_fract_y
_atom_site_fract_z
Cs1 0.197 0.168 0.000
Ba1 0.000 0.500 0.500
Hg1 0.020 0.070 0.500
Hg2 0.088 0.790 0.500
Hg3 0.103 0.656 0.500
Hg4 0.204 0.390 0.205
```

Results
Magnetic moment ... 0.0 μB per formula unit
Calculated formation energy ... -2.4 eV per formula unit
Calculated volume ... 41.58 Å³ per atom
Calculated total energy ... -0.697 eV/atom

---

(5)
Material: ZrCuBiS4
Method: DFT, PBE-GGA
State: relaxed

Geometry as CIF:
```
data_ZrCuBiS4
_cell_length_a 7.544
_cell_length_b 7.666
_cell_length_c 10.964
_cell_angle_alpha 90.00
_cell_angle_beta 90.00
_cell_angle_gamma 90.00
_space_group_name_H-M_alt 'I m m a'
_space_group_IT_number 74
_space_group_name_Hall '-I 2b 2'
loop_
_atom_site_label
_atom_site_fract_x
_atom_site_fract_y
_atom_site_fract_z
Zr1 0.250 0.250 0.250
Cu1 0.000 0.250 0.624
Bi1 0.000 0.000 0.000
S1 0.000 0.012 0.255
S2 0.233 0.250 0.485
```

Results
Magnetic moment ... 0.0 μB per formula unit
Calculated volume ... 22.65 Å³ per atom
Uncorrected formation energy ... -0.8105 eV per atom
Calculated total energy ... -5.530 eV/atom

---

(6)
Material: MnCrRu2
Method: DFT, PBE-GGA
State: relaxed

Geometry as CIF:
```
data_MnCrRu2
_cell_length_a 2.6430
_cell_length_b 2.6430
_cell_length_c 25.5657
_cell_angle_alpha 90.00
_cell_angle_beta 90.00
_cell_angle_gamma 120.00
_space_group_name_H-M_alt 'R -3 m'
_space_group_IT_number 166
_space_group_name_Hall '-R 3 2"'
loop_
_atom_site_label
_atom_site_fract_x
_atom_site_fract_y
_atom_site_fract_z
Mn1 0.0000 0.0000 0.0000
Cr1 0.0000 0.0000 0.5000
Ru1 0.0000 0.0000 0.2503
```

Results
Magnetic moment ... 1.4 μB per formula unit
Calculated formation energy ... 0.6 eV per formula unit
Calculated volume ... 12.89 Å³ per atom
Calculated total energy ... -9.182 eV/atom

---

(7)
Material: Pu2NpTl3Se6
Method: DFT, PBE-GGA
State: relaxed

Geometry as CIF:
```
data_Pu2NpTl3Se6
_cell_length_a 7.337
_cell_length_b 12.707
_cell_length_c 8.092
_cell_angle_alpha 90.00
_cell_angle_beta 107.59
_cell_angle_gamma 90.00
_space_group_name_H-M_alt 'C 1 2/m 1'
_space_group_IT_number 12
loop_
_space_group_symop_operation_xyz
'x,y,z'
'-x,-y,-z'
'-x,y,-z'
'x,-y,z'
'x+1/2,y+1/2,z'
'-x+1/2,-y+1/2,-z'
'-x+1/2,y+1/2,-z'
'x+1/2,-y+1/2,z'
loop_
_atom_site_label
_atom_site_fract_x
_atom_site_fract_y
_atom_site_fract_z
Pu1 0.000 0.167 0.000
Np1 0.000 0.500 0.000
Tl1 0.000 0.000 0.500
Tl2 0.000 0.333 0.500
Se1 0.232 0.335 0.202
Se2 0.239 0.000 0.203
```

Results
Magnetic moment ... 14.0 μB per formula unit
Calculated volume ... 29.97 Å³ per atom
Uncorrected formation energy ... -1.0548 eV per atom
Calculated total energy ... -6.856 eV/atom

---

(8)
Material: MgReOs2
Method: DFT, PBE-GGA
State: relaxed

Geometry as CIF:
```
data_MgReOs2
_cell_length_a 2.836
_cell_length_b 2.836
_cell_length_c 7.544
_cell_angle_alpha 90.00
_cell_angle_beta 90.00
_cell_angle_gamma 90.00
_space_group_name_H-M_alt 'P 4/m m m'
_space_group_IT_number 123
_space_group_name_Hall '-P 4 2'
loop_
_atom_site_label
_atom_site_fract_x
_atom_site_fract_y
_atom_site_fract_z
Mg1 0.000 0.000 0.000
Re1 0.000 0.000 0.500
Os1 0.500 0.500 0.263
```

Results
Magnetic moment ... 0.0 μB per formula unit
Calculated formation energy ... 0.6 eV per formula unit
Calculated volume ... 15.17 Å³ per atom
Calculated total energy ... -8.982 eV/atom

---

(9)
Material: AcZr2Ta
Method: DFT, PBE-GGA
State: relaxed

Geometry as CIF:
```
data_AcZr2Ta
_cell_length_a 3.2742
_cell_length_b 3.2742
_cell_length_c 33.7850
_cell_angle_alpha 90.00
_cell_angle_beta 90.00
_cell_angle_gamma 120.00
_space_group_name_H-M_alt 'R -3 m'
_space_group_IT_number 166
_space_group_name_Hall '-R 3 2"'
loop_
_atom_site_label
_atom_site_fract_x
_atom_site_fract_y
_atom_site_fract_z
Ac1 0.0000 0.0000 0.0000
Zr1 0.0000 0.0000 0.0977
Ta1 0.0000 0.0000 0.5000
```

Results
Magnetic moment ... 0.0 μB per formula unit
Calculated formation energy ... 2.0 eV per formula unit
Calculated volume ... 26.14 Å³ per atom
Calculated total energy ... -7.770 eV/atom

---

(10)
Material: MgSn2Mo
Method: DFT, PBE-GGA
State: relaxed

Geometry as CIF:
```
data_MgSn2Mo
_cell_length_a 7.866
_cell_length_b 7.866
_cell_length_c 5.955
_cell_angle_alpha 90.00
_cell_angle_beta 90.00
_cell_angle_gamma 90.00
_space_group_name_H-M_alt 'I -4 2 d'
_space_group_IT_number 122
_space_group_name_Hall 'I -4 2bw'
loop_
_atom_site_label
_atom_site_fract_x
_atom_site_fract_y
_atom_site_fract_z
Mg1 0.000 0.000 0.000
Sn1 0.224 0.250 0.625
Mo1 0.000 0.000 0.500
```

Results
Magnetic moment ... 0.2 μB per formula unit
Calculated formation energy ... 2.2 eV per formula unit
Calculated volume ... 23.03 Å³ per atom
Calculated total energy ... -4.565 eV/atom

---

(11)
Material: Ca2MgSiAu6
Method: DFT, PBE-GGA
State: relaxed

Geometry as CIF:
```
data_Ca2MgSiAu6
_cell_length_a 5.606
_cell_length_b 6.689
_cell_length_c 7.201
_cell_angle_alpha 78.80
_cell_angle_beta 67.13
_cell_angle_gamma 65.29
_space_group_name_H-M_alt 'P -1'
_space_group_IT_number 2
loop_
_space_group_symop_operation_xyz
'x,y,z'
'-x,-y,-z'
loop_
_atom_site_label
_atom_site_fract_x
_atom_site_fract_y
_atom_site_fract_z
Ca1 0.240 0.226 0.292
Mg1 0.500 0.500 0.500
Si1 0.000 0.000 0.000
Au1 0.236 0.774 0.253
Au2 0.251 0.613 0.887
Au3 0.264 0.226 0.749
```

Results
Magnetic moment ... 0.0 μB per formula unit
Calculated volume ... 22.58 Å³ per atom
Uncorrected formation energy ... -0.4463 eV per atom
Calculated total energy ... -3.515 eV/atom

---

(12)
Material: ErTm4Rh5
Method: DFT, PBE-GGA
State: relaxed

Geometry as CIF:
```
data_ErTm4Rh5
_cell_length_a 3.340
_cell_length_b 3.340
_cell_length_c 17.310
_cell_angle_alpha 90.00
_cell_angle_beta 90.00
_cell_angle_gamma 90.00
_space_group_name_H-M_alt 'P 4/m m m'
_space_group_IT_number 123
_space_group_name_Hall '-P 4 2'
loop_
_atom_site_label
_atom_site_fract_x
_atom_site_fract_y
_atom_site_fract_z
Er1 0.000 0.000 0.000
Tm1 0.000 0.000 0.200
Tm2 0.000 0.000 0.400
Rh1 0.500 0.500 0.101
Rh2 0.500 0.500 0.300
Rh3 0.500 0.500 0.500
```

Results
Magnetic moment ... 0.0 μB per formula unit
Calculated formation energy ... -9.6 eV per formula unit
Calculated volume ... 19.31 Å³ per atom
Calculated total energy ... -6.879 eV/atom

---

Q: Number 10 is which compound?
A: MgSn2Mo